Model 1:
A geometry-optimized ScCdBr structure. Source: Alexandria via LeMat-Bulk, functional GGA-PBE.

Computed properties:
Its volume is 28.11 Å³/atom. As for the space-group type: F-43m (216).

Unit cell a=4.922 b=4.922 c=4.922 alpha=60.00 beta=60.00 gamma=60.00
Sites, in units of the cell vectors:
Sc1 0.000 0.000 0.000
Cd1 0.250 0.250 0.250
Br1 0.750 0.750 0.750


Model 2:
A geometry-optimized ScCdBr structure. Source: Alexandria via LeMat-Bulk, functional GGA-PBE.

Computed properties:
Its volume is 26.85 Å³/atom. As for the space-group type: I4mm (107).

Unit cell a=7.454 b=7.454 c=7.454 alpha=153.81 beta=153.81 gamma=37.38
Sites, in units of the cell vectors:
Sc1 0.000 0.000 0.000
Cd1 0.360 0.360 0.000
Br1 0.614 0.614 0.000


Model 3:
A geometry-optimized ScCdBr structure. Source: Alexandria via LeMat-Bulk, functional GGA-PBE.

Computed properties:
Its volume is 24.96 Å³/atom. As for the space-group type: P-6m2 (187).

Unit cell a=4.749 b=4.749 c=3.834 alpha=90.00 beta=90.00 gamma=120.00
Sites, in units of the cell vectors:
Sc1 0.000 0.000 0.000
Cd1 0.333 0.667 0.500
Br1 0.667 0.333 0.000


Relative to the most stable one, in kJ/mol of atoms, the structures come out at model 1 46.1; model 2 0.0; model 3 20.3.


Model 1:
A geometry-optimized ScCdBr structure. Source: Alexandria via LeMat-Bulk, functional GGA-PBE.

Computed properties:
Its volume is 26.64 Å³/atom. As for the space-group type: F-43m (216).

Unit cell a=4.835 b=4.835 c=4.835 alpha=60.00 beta=60.00 gamma=60.00
Sites, in units of the cell vectors:
Sc1 0.000 0.000 0.000
Cd1 0.500 0.500 0.500
Br1 0.750 0.750 0.750


Model 2:
A geometry-optimized ScCdBr structure. Source: Alexandria via LeMat-Bulk, functional GGA-PBE.

Computed properties:
Its volume is 27.44 Å³/atom. As for the space-group type: P3m1 (156).

Unit cell a=3.542 b=3.542 c=7.577 alpha=90.00 beta=90.00 gamma=120.00
Sites, in units of the cell vectors:
Sc1 0.000 0.000 0.000
Cd1 0.667 0.333 0.711
Br1 0.333 0.667 0.239


Relative to the most stable one, in kJ/mol of atoms, the structures come out at model 1 64.7; model 2 0.0.